No. 1
Density functional theory data (PBE-GGA) for a geometry-optimized PaGaRuO6 structure.

Unit cell a=4.8229 b=4.8229 c=9.5562 alpha=90.00 beta=90.00 gamma=90.00
Closest atoms and distances in Å follow each position.
Fractional coordinates of all 18 atoms:
O 0.2075 0.7925 0.8408  1 Ga 2.00, 1 Ru 2.07, 1 Pa 2.16
O 0.6813 0.6813 0.6664  1 Ga 2.01, 1 Ru 2.03, 1 Pa 2.17
O 0.2088 0.7912 0.4923  1 Ru 1.99, 1 Ga 2.09, 1 Pa 2.21
O 0.3187 0.3187 0.6664  1 Ga 2.01, 1 Ru 2.03, 1 Pa 2.17
O 0.7088 0.7088 0.9923  1 Ru 1.99, 1 Ga 2.09, 1 Pa 2.21
O 0.2912 0.2912 0.9923  1 Ru 1.99, 1 Ga 2.09, 1 Pa 2.21
O 0.7075 0.7075 0.3408  1 Ga 2.00, 1 Ru 2.07, 1 Pa 2.16
O 0.1813 0.8187 0.1664  1 Ga 2.01, 1 Ru 2.03, 1 Pa 2.17
O 0.8187 0.1813 0.1664  1 Ga 2.01, 1 Ru 2.03, 1 Pa 2.17
O 0.7912 0.2088 0.4923  1 Ru 1.99, 1 Ga 2.09, 1 Pa 2.21
O 0.2925 0.2925 0.3408  1 Ga 2.00, 1 Ru 2.07, 1 Pa 2.16
O 0.7925 0.2075 0.8408  1 Ga 2.00, 1 Ru 2.07, 1 Pa 2.16
Pa 0.0000 0.0000 0.6698  6 O 2.16-2.21
Pa 0.5000 0.5000 0.1698  6 O 2.16-2.21
Ga 0.0000 0.0000 0.3326  6 O 2.00-2.09
Ga 0.5000 0.5000 0.8326  6 O 2.00-2.09
Ru 0.0000 0.0000 0.9984  6 O 1.99-2.07
Ru 0.5000 0.5000 0.4984  6 O 1.99-2.07

- spin magnetization (μB/atom) = 0.22
- V (Å³/cell) = 222.28
- ΔE_f (raw) (eV per atom) = -2.12

=====

No. 2
Density functional theory data (PBE-GGA) for a geometry-optimized PaGaSbO6 structure.

Unit cell a=5.3997 b=5.3997 c=9.3179 alpha=90.00 beta=90.00 gamma=120.00
Closest atoms and distances in Å follow each position.
Fractional coordinates of all 18 atoms:
O 0.6764 0.0216 0.8701  1 Ga 2.04, 1 Sb 2.18, 1 Pa 2.19
O 0.6547 0.6764 0.1299  1 Ga 2.04, 1 Sb 2.18, 1 Pa 2.19
O 0.0216 0.3453 0.1299  1 Ga 2.04, 1 Sb 2.18, 1 Pa 2.19
O 0.9784 0.6547 0.8701  1 Ga 2.04, 1 Sb 2.18, 1 Pa 2.19
O 0.3453 0.0216 0.6299  1 Ga 2.04, 1 Sb 2.18, 1 Pa 2.19
O 0.3453 0.3236 0.8701  1 Ga 2.04, 1 Sb 2.18, 1 Pa 2.19
O 0.6764 0.6547 0.6299  1 Ga 2.04, 1 Sb 2.18, 1 Pa 2.19
O 0.3236 0.9784 0.1299  1 Ga 2.04, 1 Sb 2.18, 1 Pa 2.19
O 0.3236 0.3453 0.3701  1 Ga 2.04, 1 Sb 2.18, 1 Pa 2.19
O 0.9784 0.3236 0.6299  1 Ga 2.04, 1 Sb 2.18, 1 Pa 2.19
O 0.6547 0.9784 0.3701  1 Ga 2.04, 1 Sb 2.18, 1 Pa 2.19
O 0.0216 0.6764 0.3701  1 Ga 2.04, 1 Sb 2.18, 1 Pa 2.19
Ga 0.3333 0.6667 0.2500  6 O 2.04
Ga 0.6667 0.3333 0.7500  6 O 2.04
Sb 0.0000 0.0000 0.0000  6 O 2.18
Sb 0.0000 0.0000 0.5000  6 O 2.18
Pa 0.6667 0.3333 0.2500  6 O 2.19
Pa 0.3333 0.6667 0.7500  6 O 2.19

- spin magnetization (μB/atom) = 0.00
- V (Å³/cell) = 235.28
- ΔE_f (raw) (eV per atom) = -2.15

=====

No. 3
Density functional theory data (PBE-GGA) for a geometry-optimized ScPaGa2O8 structure.

Unit cell a=5.8851 b=5.8851 c=5.8851 alpha=109.07 beta=109.07 gamma=110.28
Closest atoms and distances in Å follow each position.
Fractional coordinates of all 12 atoms:
Ga 0.5000 0.5000 0.0000  4 O 1.86
Ga 0.7500 0.2500 0.5000  4 O 1.84
O 0.4974 0.6923 0.8051  1 Ga 1.86
O 0.8871 0.6923 0.1949  1 Ga 1.86
O 0.3666 0.0573 0.3093  1 Ga 1.84
O 0.3077 0.1129 0.8051  1 Ga 1.86
O 0.7480 0.0573 0.6907  1 Ga 1.84
O 0.9427 0.6334 0.6907  1 Ga 1.84
O 0.9427 0.2520 0.3093  1 Ga 1.84
O 0.3077 0.5026 0.1949  1 Ga 1.86
Sc 0.2500 0.7500 0.5000  4 O 2.12
Pa 0.0000 0.0000 0.0000  4 O 2.15

- spin magnetization (μB/atom) = 0.13
- V (Å³/cell) = 156.88
- ΔE_f (raw) (eV per atom) = -2.30